No. 1
Ta2FeNi: optimized geometry, PBE.

The space group is I4/mmm (No. 139) and the conventional cell measures 4.019, 4.019 and 7.094 Å, with angles of 90.00, 90.00 and 90.00 degrees. Symmetry generates all atoms from Ta at (0.000, 0.500, 0.250), Fe at (0.000, 0.000, 0.000) and Ni at (0.000, 0.000, 0.500).

The mass density is 13.8 g/cm3. For the energy of formation from the pure elements, the calculation gives -0.10 eV/atom.

No. 2
Zn2TcPt: optimized geometry, PBE.

The space group is Pmmm (No. 47) and the conventional cell measures 2.752, 4.500 and 4.829 Å, with angles of 90.00, 90.00 and 90.00 degrees. Symmetry generates all atoms from Zn at (0.000, 0.000, 0.000), Zn at (0.500, 0.000, 0.500), Tc at (0.000, 0.500, 0.500) and Pt at (0.500, 0.500, 0.000).

The mass density is 11.8 g/cm3. For the energy of formation from the pure elements, the calculation gives -0.03 eV/atom. As for the polymorph energy (0 for the lowest one): 107 meV per atom.

No. 3
CsK2CdPt: optimized geometry, PBE.

The space group is P4/mmm (No. 123) and the conventional cell measures 6.216, 6.216 and 6.676 Å, with angles of 90.00, 90.00 and 90.00 degrees. Symmetry generates all atoms from Cs at (0.000, 0.000, 0.000), K at (0.000, 0.500, 0.500), Cd at (0.500, 0.500, 0.000) and Pt at (0.000, 0.000, 0.500).

The mass density is 3.3 g/cm3. For the energy of formation from the pure elements, the calculation gives 0.10 eV/atom. As for the polymorph energy (0 for the lowest one): 128 meV per atom.

No. 4
CsKCo3: optimized geometry, PBE.

The space group is Pm-3m (No. 221) and the conventional cell measures 5.015, 5.015 and 5.015 Å, with angles of 90.00, 90.00 and 90.00 degrees. Symmetry generates all atoms from Cs at (0.000, 0.000, 0.000), K at (0.500, 0.500, 0.500) and Co at (0.000, 0.000, 0.500).

The mass density is 4.6 g/cm3. For the energy of formation from the pure elements, the calculation gives 2.24 eV/atom. As for the polymorph energy (0 for the lowest one): 0 meV per atom.

No. 5
CsCo3Si: optimized geometry, PBE.

The space group is Pm-3m (No. 221) and the conventional cell measures 4.732, 4.732 and 4.732 Å, with angles of 90.00, 90.00 and 90.00 degrees. Symmetry generates all atoms from Cs at (0.000, 0.000, 0.000), Co at (0.000, 0.000, 0.500) and Si at (0.500, 0.500, 0.500).

Its raw formation energy is 2.59 eV/atom. The mass density is 5.3 g/cm3. As for the polymorph energy (0 for the lowest one): 1631 meV per atom.

No. 6
BeAlZn: optimized geometry, PBE.

The space group is Imm2 (No. 44) and the conventional cell measures 2.697, 3.737 and 8.029 Å, with angles of 90.00, 90.00 and 90.00 degrees. Symmetry generates all atoms from Be at (0.000, 0.000, 0.000), Al at (0.000, 0.000, 0.338) and Zn at (0.000, 0.000, 0.660).

The mass density is 4.2 g/cm3. For the energy of formation from the pure elements, the calculation gives 0.21 eV/atom. As for the polymorph energy (0 for the lowest one): 89 meV per atom.

No. 7
Si4MoBr: optimized geometry, PBE.

The space group is F-43m (No. 216) and the conventional cell measures 7.259, 7.259 and 7.259 Å, with angles of 90.00, 90.00 and 90.00 degrees. Symmetry generates all atoms from Si at (0.124, 0.124, 0.376), Mo at (0.000, 0.000, 0.000) and Br at (0.250, 0.250, 0.750).

Its raw formation energy is 0.72 eV/atom. The mass density is 5.0 g/cm3.

No. 8
BaAlPd3: optimized geometry, PBE.

The space group is Pm-3m (No. 221) and the conventional cell measures 5.375, 5.375 and 5.375 Å, with angles of 90.00, 90.00 and 90.00 degrees. Symmetry generates all atoms from Ba at (0.000, 0.000, 0.000), Al at (0.500, 0.500, 0.500) and Pd at (0.000, 0.000, 0.500).

The mass density is 5.2 g/cm3. For the energy of formation from the pure elements, the calculation gives 1.07 eV/atom. As for the polymorph energy (0 for the lowest one): 1653 meV per atom.

No. 9
Zr2CuHg: optimized geometry, PBE.

The space group is P4/mmm (No. 123) and the conventional cell measures 4.766, 4.766 and 3.522 Å, with angles of 90.00, 90.00 and 90.00 degrees. Symmetry generates all atoms from Zr at (0.000, 0.500, 0.000), Cu at (0.000, 0.000, 0.500) and Hg at (0.500, 0.500, 0.500).

The mass density is 9.3 g/cm3. For the energy of formation from the pure elements, the calculation gives -0.05 eV/atom.

No. 10
Na3IrPb: optimized geometry, PBE.

The space group is Pm-3m (No. 221) and the conventional cell measures 5.729, 5.729 and 5.729 Å, with angles of 90.00, 90.00 and 90.00 degrees. Symmetry generates all atoms from Na at (0.000, 0.000, 0.500), Ir at (0.500, 0.500, 0.500) and Pb at (0.000, 0.000, 0.000).

The mass density is 4.1 g/cm3. For the energy of formation from the pure elements, the calculation gives 1.24 eV/atom. As for the polymorph energy (0 for the lowest one): 498 meV per atom.

No. 11
B2Ir2Au: optimized geometry, PBE.

The space group is I4/mmm (No. 139) and the conventional cell measures 2.937, 2.937 and 14.415 Å, with angles of 90.00, 90.00 and 90.00 degrees. Symmetry generates all atoms from B at (0.000, 0.500, 0.250), Ir at (0.000, 0.000, 0.143) and Au at (0.000, 0.000, 0.500).

The mass density is 16.1 g/cm3. For the energy of formation from the pure elements, the calculation gives -0.13 eV/atom. As for the polymorph energy (0 for the lowest one): 0 meV per atom.

No. 12
PmHo6Te8: optimized geometry, PBE.

The space group is R-3 (No. 148, hexagonal axes) and the conventional cell measures 9.2736, 9.2736 and 18.4328 Å, with angles of 90.00, 90.00 and 120.00 degrees. Symmetry generates all atoms from Pm at (0.0000, 0.0000, 0.0000), Ho at (0.0043, 0.6226, 0.0743), Te at (0.0000, 0.0000, 0.3243) and Te at (0.0072, 0.2850, 0.0942).

Its raw formation energy is -1.21 eV/atom. The mass density is 7.8 g/cm3. As for the polymorph energy (0 for the lowest one): 137 meV per atom.